Entry 1:
Tb6HC2Cl3 after structural relaxation, computed with PBE.

Results
spin magnetization: 0.00 μB per formula unit
E: -5.55 eV/atom

a = 6.340 Å, b = 6.340 Å, c = 7.133 Å
α = 98.60°, β = 98.60°, γ = 119.89°
Fractional positions:
Tb1 0.936 0.587 0.806
Tb2 0.716 0.716 0.195
Tb3 0.064 0.413 0.194
Tb4 0.587 0.936 0.806
Tb5 0.284 0.284 0.805
Tb6 0.413 0.064 0.194
H1 0.000 0.000 0.000
C1 0.334 0.666 0.000
C2 0.666 0.334 0.000
Cl1 0.169 0.831 0.500
Cl2 0.831 0.169 0.500
Cl3 0.500 0.500 0.500



Entry 2:
Y2HCCl after structural relaxation, computed with PBE.

Results
spin magnetization: 0.00 μB per formula unit
E: -5.14 eV/atom

a = 4.586 Å, b = 3.820 Å, c = 4.586 Å
α = 90.00°, β = 90.00°, γ = 90.00°
Fractional positions:
Y1 0.000 0.000 0.500
Y2 0.500 0.000 0.000
H1 0.000 0.000 0.000
C1 0.500 0.500 0.500
Cl1 0.000 0.500 0.000



Entry 3:
Y6HC2Cl3 after structural relaxation, computed with PBE.

Results
spin magnetization: 0.00 μB per formula unit
E: -6.47 eV/atom

a = 6.334 Å, b = 6.334 Å, c = 7.127 Å
α = 98.59°, β = 98.59°, γ = 119.95°
Fractional positions:
Y1 0.936 0.588 0.808
Y2 0.716 0.716 0.193
Y3 0.064 0.412 0.192
Y4 0.588 0.936 0.808
Y5 0.284 0.284 0.807
Y6 0.412 0.064 0.192
H1 0.000 0.000 0.000
C1 0.334 0.666 0.000
C2 0.666 0.334 0.000
Cl1 0.169 0.831 0.500
Cl2 0.831 0.169 0.500
Cl3 0.500 0.500 0.500



Entry 4:
ZnHC2Cl after structural relaxation, computed with PBE.

Results
spin magnetization: 0.00 μB per formula unit
E: -2.86 eV/atom

a = 4.173 Å, b = 3.303 Å, c = 4.173 Å
α = 90.00°, β = 90.00°, γ = 90.00°
Fractional positions:
H1 0.000 0.500 0.000
Zn1 0.000 0.000 0.000
C1 0.000 0.000 0.500
C2 0.500 0.000 0.000
Cl1 0.500 0.500 0.500



Entry 5:
ZnHCCl2 after structural relaxation, computed with PBE.

Results
spin magnetization: 0.00 μB per formula unit
E: -2.68 eV/atom

a = 4.723 Å, b = 3.027 Å, c = 4.723 Å
α = 90.00°, β = 90.00°, γ = 90.00°
Fractional positions:
H1 0.000 0.500 0.000
Zn1 0.500 0.500 0.500
C1 0.000 0.000 0.000
Cl1 0.000 0.000 0.500
Cl2 0.500 0.000 0.000



Entry 6:
HfC3Cl after structural relaxation, computed with PBE.

Results
spin magnetization: 0.00 μB per formula unit
relative energy among the computed polymorphs: 0.071 eV/atom
formation energy (no corrections): 2483 meV/atom

a = 3.786 Å, b = 3.786 Å, c = 3.786 Å
α = 90.00°, β = 90.00°, γ = 90.00°
Fractional positions:
C1 0.000 0.500 0.000
C2 0.000 0.000 0.500
C3 0.500 0.000 0.000
Hf1 0.500 0.500 0.500
Cl1 0.000 0.000 0.000



Entry 7:
HfCCl after structural relaxation, computed with PBE.

Results
spin magnetization: 0.00 μB per formula unit
formation energy (no corrections): -521 meV/atom

a = 4.190 Å, b = 7.454 Å, c = 7.454 Å
α = 63.45°, β = 74.66°, γ = 74.66°
Fractional positions:
Cl1 0.215 0.660 0.910
Cl2 0.785 0.840 0.590
Cl3 0.785 0.340 0.090
Cl4 0.215 0.160 0.410
Hf1 0.177 0.450 0.700
Hf2 0.177 0.950 0.200
Hf3 0.823 0.550 0.300
Hf4 0.823 0.050 0.800
C1 0.729 0.386 0.636
C2 0.729 0.886 0.136
C3 0.271 0.614 0.364
C4 0.271 0.114 0.864



Entry 8:
Hf6CCl15 after structural relaxation, computed with PBE.

Results
spin magnetization: 0.85 μB per formula unit
formation energy (no corrections): -1710 meV/atom

a = 8.713 Å, b = 8.713 Å, c = 8.713 Å
α = 109.47°, β = 109.47°, γ = 109.47°
Each line ends with the local moment (μB).
Fractional positions:
Hf1 0.773 0.000 0.773  0.09
Hf2 0.773 0.773 0.000  0.09
Hf3 0.000 0.227 0.227  0.09
Hf4 0.227 0.000 0.227  0.09
Hf5 0.227 0.227 0.000  0.09
Hf6 0.000 0.773 0.773  0.09
C1 0.000 0.000 0.000  -0.02
Cl1 0.753 0.000 0.247  0.00
Cl2 0.753 0.247 0.000  0.00
Cl3 0.505 0.753 0.753  0.00
Cl4 0.247 0.495 0.247  0.00
Cl5 0.247 0.247 0.495  0.00
Cl6 0.495 0.247 0.247  0.00
Cl7 0.753 0.505 0.753  0.00
Cl8 0.247 0.753 0.000  0.00
Cl9 0.000 0.753 0.247  0.00
Cl10 0.247 0.000 0.753  0.00
Cl11 0.753 0.753 0.505  0.00
Cl12 0.000 0.247 0.753  0.00
Cl13 0.500 0.000 0.500  0.01
Cl14 0.500 0.500 0.000  0.01
Cl15 0.000 0.500 0.500  0.01